KSrCa2Pd: relaxed, PBE.

Cell: 5.7356 5.7356 6.3580 Å, 90.00 90.00 90.00°
Last column: nearest neighbours and their distance in Å.
Space group P4/mmm (No. 123)
Inequivalent atoms, fractional coordinates:
K: 0.0000 0.0000 0.0000 (multiplicity 1)  2 Pd 3.18
Sr: 0.5000 0.5000 0.0000 (multiplicity 1)  4 K 4.06, 8 Ca 4.28
Ca: 0.0000 0.5000 0.5000 (multiplicity 2)  2 Pd 2.87
Pd: 0.0000 0.0000 0.5000 (multiplicity 1)  4 Ca 2.87, 2 K 3.18

Properties
- Calculated density: 2.49 Mg/m³
- Magnetization: 0.00 Bohr magnetons per cell
- E: -12.5 eV/cell
- Energy of formation from the pure elements: -9 kJ/mol of atoms